Entry 1:
Material: GdAlCdPd
Method: DFT, GGA-PBE
State: relaxed

calculated formation energy = -48 kJ per mole of atoms

The structure in POSCAR format:
```
GdAlCdPd
1.0
0.000 3.433 3.433
3.433 0.000 3.433
3.433 3.433 0.000
Gd Al Cd Pd
1 1 1 1
Direct
0.000 0.000 0.000
0.500 0.500 0.500
0.750 0.750 0.750
0.250 0.250 0.250
```



Entry 2:
Material: PmGdAlCd
Method: DFT, GGA-PBE
State: relaxed

calculated formation energy = -34 kJ per mole of atoms

The structure in POSCAR format:
```
PmGdAlCd
1.0
0.000 3.748 3.748
3.748 0.000 3.748
3.748 3.748 0.000
Pm Gd Al Cd
1 1 1 1
Direct
0.000 0.000 0.000
0.500 0.500 0.500
0.750 0.750 0.750
0.250 0.250 0.250
```



Entry 3:
Material: PrGdAlCd
Method: DFT, GGA-PBE
State: relaxed

calculated formation energy = -33 kJ per mole of atoms

The structure in POSCAR format:
```
PrGdAlCd
1.0
0.000 3.771 3.771
3.771 0.000 3.771
3.771 3.771 0.000
Pr Gd Al Cd
1 1 1 1
Direct
0.000 0.000 0.000
0.500 0.500 0.500
0.250 0.250 0.250
0.750 0.750 0.750
```



| no. | calculated volume (Å³/atom) | N(E_F) (states/eV/f.u.) |
| --- | --- | --- |
| 1 | 20.24 | 1.83 |
| 2 | 26.33 | 3.49 |
| 3 | 26.81 | 3.71 |